1.
# La3Pr2PaAs6

A relaxed structure of La3Pr2PaAs6 (PBE-GGA, Alexandria via LeMat-Bulk).

Calculated volume, Å³/f.u.: 336.57
Spin magnetization, μB per atom: 0.0000
ΔH_f (0 K), eV/f.u.: -17.7
SG: C2/m

Cell and atoms, written as POSCAR:
```
La3Pr2PaAs6
1.0
3.718 -6.438 0.000
3.718 6.438 0.000
-2.477 0.000 7.030
La Pr Pa As
3 2 1 6
Direct
0.000 0.000 0.000
0.330 0.670 0.000
0.670 0.330 0.000
0.166 0.834 0.500
0.834 0.166 0.500
0.500 0.500 0.500
0.101 0.420 0.261
0.261 0.261 0.740
0.420 0.101 0.261
0.580 0.899 0.739
0.739 0.739 0.260
0.899 0.580 0.739
```



2.
# Ca3Tl7

A relaxed structure of Ca3Tl7 (PBE-GGA, Alexandria via LeMat-Bulk).

Calculated volume, Å³/f.u.: 291.24
Spin magnetization, μB per atom: 0.0000
ΔH_f (0 K), eV/f.u.: -2.6
SG: C2/m

Cell and atoms, written as POSCAR:
```
Ca3Tl7
1.0
8.936 -2.461 0.000
8.936 2.461 0.000
-1.599 0.000 6.620
Ca Tl
3 7
Direct
0.000 0.000 0.000
0.192 0.192 0.621
0.808 0.808 0.379
0.000 0.000 0.500
0.201 0.201 0.121
0.395 0.395 0.684
0.400 0.400 0.180
0.600 0.600 0.820
0.605 0.605 0.316
0.799 0.799 0.879
```



3.
# InAgAs4

A relaxed structure of InAgAs4 (PBE-GGA, Alexandria via LeMat-Bulk).

Calculated volume, Å³/f.u.: 130.06
Spin magnetization, μB per atom: 0.0000
ΔH_f (0 K), eV/f.u.: 1.9
SG: F-43m

Cell and atoms, written as POSCAR:
```
InAgAs4
1.0
0.000 4.021 4.021
4.021 0.000 4.021
4.021 4.021 0.000
In Ag As
1 1 4
Direct
0.000 0.000 0.000
0.750 0.750 0.750
0.375 0.375 0.375
0.375 0.375 0.876
0.375 0.876 0.375
0.876 0.375 0.375
```



4.
# Ca3PtAu

A relaxed structure of Ca3PtAu (PBE-GGA, Alexandria via LeMat-Bulk).

Calculated volume, Å³/f.u.: 145.45
ΔE to the lowest computed polymorph, kJ/mol of formula units: 52
Spin magnetization, μB per atom: 0.0000
ΔH_f (0 K), eV/f.u.: -3.3
SG: C2

Cell and atoms, written as POSCAR:
```
Ca3PtAu
1.0
7.238 -4.987 0.000
7.238 4.987 0.000
0.000 0.000 4.029
Ca Pt Au
6 2 2
Direct
0.120 0.120 0.499
0.249 0.509 0.499
0.491 0.751 0.501
0.529 0.159 0.000
0.841 0.471 0.000
0.880 0.880 0.501
0.185 0.315 0.999
0.685 0.815 0.001
0.185 0.815 0.000
0.686 0.314 0.500
```



5.
# Zr2SbAs

A relaxed structure of Zr2SbAs (PBE-GGA, Alexandria via LeMat-Bulk).

E_tot, eV per atom: -7.152
Calculated volume, Å³/f.u.: 87.74
Spin magnetization, μB per atom: 0.0000
SG: Cm

Cell and atoms, written as POSCAR:
```
Zr2SbAs
1.0
5.098 -1.809 0.000
5.098 1.809 0.000
-0.103 0.000 4.757
Zr Sb As
2 1 1
Direct
0.000 0.000 0.000
0.240 0.240 0.514
0.518 0.518 0.501
0.720 0.720 0.009
```



6.
# Th5TcSb2

A relaxed structure of Th5TcSb2 (PBE-GGA, Alexandria via LeMat-Bulk).

Calculated volume, Å³/f.u.: 234.02
ΔE to the lowest computed polymorph, kJ/mol of formula units: 255
Spin magnetization, μB per atom: 0.0000
SG: Cmcm

Cell and atoms, written as POSCAR:
```
Th5TcSb2
1.0
2.935 -4.805 0.000
2.935 4.805 0.000
0.000 0.000 16.597
Th Tc Sb
10 2 4
Direct
0.060 0.940 0.597
0.060 0.940 0.903
0.258 0.742 0.250
0.401 0.599 0.637
0.401 0.599 0.863
0.599 0.401 0.137
0.599 0.401 0.363
0.742 0.258 0.750
0.940 0.060 0.097
0.940 0.060 0.403
0.162 0.838 0.750
0.838 0.162 0.250
0.280 0.720 0.057
0.280 0.720 0.443
0.720 0.280 0.557
0.720 0.280 0.943
```



7.
# SrPuPt4

A relaxed structure of SrPuPt4 (PBE-GGA, Alexandria via LeMat-Bulk).

Calculated volume, Å³/f.u.: 118.50
Spin magnetization, μB per atom: 0.8693
ΔH_f (0 K), eV/f.u.: -4.8
SG: F-43m

Cell and atoms, written as POSCAR:
```
SrPuPt4
1.0
0.000 3.899 3.899
3.899 0.000 3.899
3.899 3.899 0.000
Sr Pu Pt
1 1 4
Direct
0.000 0.000 0.000
0.750 0.750 0.750
0.375 0.375 0.375
0.375 0.375 0.874
0.375 0.874 0.375
0.874 0.375 0.375
```



8.
# Sc2CoAu

A relaxed structure of Sc2CoAu (PBE-GGA, Alexandria via LeMat-Bulk).

Calculated volume, Å³/f.u.: 73.27
Spin magnetization, μB per atom: 0.0294
ΔH_f (0 K), eV/f.u.: -1.9
SG: Amm2

Cell and atoms, written as POSCAR:
```
Sc2CoAu
1.0
4.362 0.000 0.000
0.000 1.696 4.952
0.000 -1.696 4.952
Sc Co Au
2 1 1
Direct
0.000 0.000 0.000
0.500 0.292 0.292
0.500 0.554 0.554
0.000 0.721 0.721
```



9.
# K2CaW

A relaxed structure of K2CaW (PBE-GGA, Alexandria via LeMat-Bulk).

Calculated volume, Å³/f.u.: 130.00
ΔE to the lowest computed polymorph, kJ/mol of formula units: 139
Spin magnetization, μB per atom: 0.3876
ΔH_f (0 K), eV/f.u.: 5.8
SG: Cmmm

Cell and atoms, written as POSCAR:
```
K2CaW
1.0
3.237 -6.565 0.000
3.237 6.565 0.000
0.000 0.000 3.059
K Ca W
2 1 1
Direct
0.000 0.500 0.000
0.500 0.000 0.000
0.000 0.000 0.500
0.500 0.500 0.500
```



10.
# K3Sb3Au2

A relaxed structure of K3Sb3Au2 (PBE-GGA, Alexandria via LeMat-Bulk).

E_tot, eV per atom: -3.167
Calculated volume, Å³/f.u.: 271.56
Spin magnetization, μB per atom: 0.0000
SG: Cmcm

Cell and atoms, written as POSCAR:
```
K3Sb3Au2
1.0
2.307 -6.547 0.000
2.307 6.547 0.000
0.000 0.000 17.981
K Sb Au
6 6 4
Direct
0.030 0.970 0.750
0.345 0.655 0.599
0.345 0.655 0.901
0.655 0.345 0.099
0.655 0.345 0.401
0.970 0.030 0.250
0.077 0.923 0.555
0.077 0.923 0.945
0.251 0.749 0.250
0.749 0.251 0.750
0.923 0.077 0.055
0.923 0.077 0.445
0.369 0.631 0.126
0.369 0.631 0.374
0.631 0.369 0.626
0.631 0.369 0.874
```



11.
# RbHfZn2I

A relaxed structure of RbHfZn2I (PBE-GGA, Alexandria via LeMat-Bulk).

E_tot, eV per atom: -2.415
Calculated volume, Å³/f.u.: 241.81
Spin magnetization, μB per atom: 0.4123
SG: P4/mmm

Cell and atoms, written as POSCAR:
```
RbHfZn2I
1.0
5.377 0.000 0.000
0.000 5.377 0.000
0.000 0.000 8.363
Rb Hf Zn I
1 1 2 1
Direct
0.000 0.000 0.000
0.000 0.000 0.500
0.000 0.500 0.500
0.500 0.000 0.500
0.500 0.500 0.000
```



12.
# EuEr2Zr

A relaxed structure of EuEr2Zr (PBE-GGA, Alexandria via LeMat-Bulk).

Calculated volume, Å³/f.u.: 121.43
ΔE to the lowest computed polymorph, kJ/mol of formula units: 0
Spin magnetization, μB per atom: 1.9543
ΔH_f (0 K), eV/f.u.: 0.4
SG: P4/mmm

Cell and atoms, written as POSCAR:
```
EuEr2Zr
1.0
3.460 0.000 0.000
0.000 3.460 0.000
0.000 0.000 10.143
Eu Er Zr
1 2 1
Direct
0.000 0.000 0.000
0.500 0.500 0.283
0.500 0.500 0.717
0.000 0.000 0.500
```